! KCrH2F (PBE with a Hubbard U, optimized geometry); values from VASP
&SYSTEM
  ibrav = 0, nat = 5, ntyp = 4
/
ATOMIC_SPECIES
K 39.10 K.upf
Cr 52.00 Cr.upf
H 1.01 H.upf
F 19.00 F.upf
CELL_PARAMETERS angstrom
5.213 0.000 0.000
0.000 5.213 0.000
0.000 0.000 3.779
ATOMIC_POSITIONS crystal
K 0.000 0.000 0.000
Cr 0.500 0.500 0.000
H 0.000 0.500 0.500
H 0.500 0.000 0.500
F 0.500 0.500 0.500
! Space group: P4/mmm (123)
! Density of states at the Fermi level: 0.285 states/eV per atom
! E: -17.81 eV per cell